No. 1
Density functional theory data (PBE-GGA) for a relaxed La4TcAg crystal.

As for the excess energy over the best structure of this formula in the dataset: 950 meV per atom. Its space group is No. 216. For the total energy, the calculation gives -4.6759 eV per atom. For the energy relative to the elements, the calculation gives 0.812 eV per atom. Its density is 7.431 g cm⁻³.

Lattice parameters (Å, degrees): 6.220 6.220 6.220 60.00 60.00 60.00
Fractional positions:
La: 0.124 0.124 0.124
La: 0.124 0.124 0.628
La: 0.124 0.628 0.124
La: 0.628 0.124 0.124
Tc: 0.750 0.750 0.750
Ag: 0.500 0.500 0.500

---

No. 2
Density functional theory data (PBE-GGA) for a relaxed Na2Sr2NbO6 crystal.

Its space group is No. 12. For the total energy, the calculation gives -6.4012 eV per atom. Its density is 3.656 g cm⁻³. The value obtained for the formation energy without anion corrections is -2.236 eV/atom.

Lattice parameters (Å, degrees): 6.128 6.128 5.917 97.99 97.99 119.30
Fractional positions:
Na: 0.139 0.861 0.000
Na: 0.861 0.139 0.000
Sr: 0.340 0.660 0.500
Sr: 0.660 0.340 0.500
Nb: 0.000 0.000 0.500
O: 0.040 0.326 0.696
O: 0.216 0.216 0.299
O: 0.326 0.040 0.696
O: 0.674 0.960 0.304
O: 0.784 0.784 0.701
O: 0.960 0.674 0.304

---

No. 3
Density functional theory data (PBE-GGA) for a relaxed BaLiPd2 crystal.

As for the excess energy over the best structure of this formula in the dataset: 257 meV per atom. Its space group is No. 225. For the total energy, the calculation gives -3.7280 eV per atom. For the energy relative to the elements, the calculation gives -0.172 eV per atom. Its density is 6.366 g cm⁻³.

Lattice parameters (Å, degrees): 5.088 5.088 5.088 60.00 60.00 60.00
Fractional positions:
Ba: 0.000 0.000 0.000
Li: 0.500 0.500 0.500
Pd: 0.250 0.250 0.250
Pd: 0.750 0.750 0.750

---

No. 4
Density functional theory data (PBE-GGA) for a relaxed AgHg2Br crystal.

As for the excess energy over the best structure of this formula in the dataset: 85 meV per atom. Its space group is No. 35. For the total energy, the calculation gives -1.3409 eV per atom. Its density is 8.718 g cm⁻³. The value obtained for the formation energy without anion corrections is -0.059 eV/atom.

Lattice parameters (Å, degrees): 3.718 3.718 8.476 90.00 90.00 106.74
Fractional positions:
Ag: 0.000 0.000 0.000
Hg: 0.000 0.000 0.510
Hg: 0.500 0.500 0.237
Br: 0.500 0.500 0.819

---

No. 5
Density functional theory data (PBE-GGA) for a relaxed Zn2OsRu crystal.

As for the excess energy over the best structure of this formula in the dataset: 322 meV per atom. Its space group is No. 225. For the total energy, the calculation gives -5.4387 eV per atom. For the energy relative to the elements, the calculation gives 0.325 eV per atom. Its density is 12.631 g cm⁻³.

Lattice parameters (Å, degrees): 4.281 4.281 4.281 60.00 60.00 60.00
Fractional positions:
Zn: 0.250 0.250 0.250
Zn: 0.750 0.750 0.750
Os: 0.000 0.000 0.000
Ru: 0.500 0.500 0.500

---

No. 6
Density functional theory data (PBE-GGA) for a relaxed LiCaPt2 crystal.

As for the excess energy over the best structure of this formula in the dataset: 111 meV per atom. Its space group is No. 6. For the total energy, the calculation gives -4.5487 eV per atom. For the energy relative to the elements, the calculation gives -0.549 eV per atom. Its density is 10.167 g cm⁻³.

Lattice parameters (Å, degrees): 2.966 4.737 5.081 90.00 90.17 90.00
Fractional positions:
Li: 0.000 0.000 0.000
Ca: 0.004 0.500 0.611
Pt: 0.503 0.000 0.442
Pt: 0.503 0.500 0.106

---

No. 7
Density functional theory data (PBE-GGA) for a relaxed Cs4Nd3ErSe8 crystal.

Its space group is No. 166. For the total energy, the calculation gives -4.8570 eV per atom. Its density is 5.284 g cm⁻³. The value obtained for the formation energy without anion corrections is -1.722 eV/atom.

Lattice parameters (Å, degrees): 9.798 9.798 9.798 52.88 52.88 52.88
Fractional positions:
Cs: 0.000 0.000 0.000
Cs: 0.000 0.500 0.500
Cs: 0.500 0.000 0.500
Cs: 0.500 0.500 0.000
Nd: 0.000 0.000 0.500
Nd: 0.000 0.500 0.000
Nd: 0.500 0.000 0.000
Er: 0.500 0.500 0.500
Se: 0.231 0.231 0.231
Se: 0.238 0.725 0.725
Se: 0.275 0.275 0.762
Se: 0.275 0.762 0.275
Se: 0.725 0.238 0.725
Se: 0.725 0.725 0.238
Se: 0.762 0.275 0.275
Se: 0.769 0.769 0.769

---

No. 8
Density functional theory data (PBE-GGA) for a relaxed Be2CoRe crystal.

As for the excess energy over the best structure of this formula in the dataset: 163 meV per atom. Its space group is No. 10. For the total energy, the calculation gives -6.7516 eV per atom. For the energy relative to the elements, the calculation gives 0.000 eV per atom. Its density is 10.281 g cm⁻³.

Lattice parameters (Å, degrees): 2.533 3.593 4.734 90.00 99.34 90.00
Fractional positions:
Be: 0.194 0.000 0.271
Be: 0.806 0.000 0.729
Co: 0.000 0.500 0.500
Re: 0.500 0.500 0.000

---

No. 9
Density functional theory data (PBE-GGA) for a relaxed Sr3Li4Sb4 crystal.

Its space group is No. 71. For the total energy, the calculation gives -3.5289 eV per atom. Its density is 4.450 g cm⁻³. The value obtained for the formation energy without anion corrections is -0.875 eV/atom.

Lattice parameters (Å, degrees): 9.133 9.133 9.133 149.28 131.27 58.71
Fractional positions:
Sr: 0.000 0.000 0.000
Sr: 0.370 0.870 0.500
Sr: 0.630 0.130 0.500
Li: 0.017 0.325 0.693
Li: 0.368 0.675 0.693
Li: 0.632 0.325 0.307
Li: 0.983 0.675 0.307
Sb: 0.214 0.214 0.000
Sb: 0.308 0.500 0.808
Sb: 0.692 0.500 0.192
Sb: 0.786 0.786 0.000

---

No. 10
Density functional theory data (PBE-GGA) for a relaxed GdZnRhAu crystal.

Its space group is No. 216. For the total energy, the calculation gives -7.0141 eV per atom. For the energy relative to the elements, the calculation gives -0.518 eV per atom. Its density is 11.489 g cm⁻³.

Lattice parameters (Å, degrees): 4.745 4.745 4.745 60.00 60.00 60.00
Fractional positions:
Gd: 0.000 0.000 0.000
Zn: 0.500 0.500 0.500
Rh: 0.750 0.750 0.750
Au: 0.250 0.250 0.250

---

No. 11
Density functional theory data (PBE-GGA) for a relaxed Hf4MnBi crystal.

Its space group is No. 15. For the total energy, the calculation gives -8.9242 eV per atom. For the energy relative to the elements, the calculation gives -0.113 eV per atom. Its density is 12.449 g cm⁻³.

Lattice parameters (Å, degrees): 7.381 7.381 5.547 101.70 101.70 112.11
Fractional positions:
Hf: 0.062 0.720 0.934
Hf: 0.189 0.350 0.645
Hf: 0.280 0.938 0.566
Hf: 0.350 0.189 0.145
Hf: 0.650 0.811 0.855
Hf: 0.720 0.062 0.434
Hf: 0.811 0.650 0.355
Hf: 0.938 0.280 0.066
Mn: 0.001 0.999 0.750
Mn: 0.999 0.001 0.250
Bi: 0.379 0.621 0.250
Bi: 0.621 0.379 0.750

---

No. 12
Density functional theory data (PBE-GGA) for a relaxed Rb3NaNp3S8 crystal.

Its space group is No. 166. For the total energy, the calculation gives -6.3796 eV per atom. Its density is 4.719 g cm⁻³. The value obtained for the formation energy without anion corrections is -1.309 eV/atom.

Lattice parameters (Å, degrees): 8.994 8.994 8.994 53.71 53.71 53.71
Fractional positions:
Rb: 0.000 0.500 0.500
Rb: 0.500 0.000 0.500
Rb: 0.500 0.500 0.000
Na: 0.500 0.500 0.500
Np: 0.000 0.000 0.500
Np: 0.000 0.500 0.000
Np: 0.500 0.000 0.000
S: 0.203 0.741 0.741
S: 0.230 0.230 0.230
S: 0.259 0.259 0.797
S: 0.259 0.797 0.259
S: 0.741 0.203 0.741
S: 0.741 0.741 0.203
S: 0.770 0.770 0.770
S: 0.797 0.259 0.259

---

Ordered calculated volume results: 28.4, 16.9, 23.3, 28.0, 13.9, 17.9, 34.6, 10.6, 26.4, 18.9, 21.7, 29.3; unit A^3/atom.